A relaxed La2PmPr5In crystal. Source: the Alexandria database, functional PBE-GGA.

## Properties
M_tot in μB/cell: 0.00
ΔH_f (0 K) in eV/atom: -0.028
Calculated density in g/cm³: 6.48

Cell lengths 5.664, 10.595, 11.002 Å; angles 90.00, 90.00, 105.50 degrees
Element x y z (fractional)
La  0.883  0.765  0.804
La  0.118  0.235  0.712
La  0.117  0.235  0.304
La  0.882  0.765  0.212
Pm  0.802  0.604  0.508
Pm  0.198  0.396  0.008
Pr  0.382  0.763  0.008
Pr  0.712  0.423  0.813
Pr  0.500  0.000  0.758
Pr  0.288  0.577  0.704
Pr  0.987  0.975  0.508
Pr  0.618  0.237  0.508
Pr  0.288  0.577  0.313
Pr  0.500  0.000  0.258
Pr  0.712  0.423  0.204
Pr  0.013  0.025  0.008
In  0.594  0.187  0.008
In  0.406  0.813  0.508